No. 1
! InFeCu | the Alexandria database | PBE | optimized geometry; values from VASP
! Formation energy in eV/atom: 0.294
! Uncorrected energy in eV/atom: -4.81
! Space group: P3m1, No. 156
&SYSTEM
  ibrav = 0, nat = 3, ntyp = 3
/
ATOMIC_SPECIES
Cu 63.55 Cu.upf
In 114.82 In.upf
Fe 55.84 Fe.upf
CELL_PARAMETERS angstrom
4.326 0.000 0.000
-2.163 3.747 0.000
0.000 0.000 2.835
ATOMIC_POSITIONS crystal
Cu 0.000 0.000 0.006
In 0.667 0.333 0.707
Fe 0.333 0.667 0.286

***

No. 2
! InFeCu | the Alexandria database | PBE | optimized geometry; values from VASP
! Formation energy in eV/atom: 0.235
! Uncorrected energy in eV/atom: -4.86
! Space group: I4mm, No. 107
&SYSTEM
  ibrav = 0, nat = 3, ntyp = 3
/
ATOMIC_SPECIES
Cu 63.55 Cu.upf
In 114.82 In.upf
Fe 55.84 Fe.upf
CELL_PARAMETERS angstrom
5.575 -0.035 0.038
4.798 2.838 0.039
0.777 0.208 2.866
ATOMIC_POSITIONS crystal
Cu 0.014 0.014 0.986
In 0.334 0.334 0.666
Fe 0.652 0.652 0.348

***

No. 3
! InFeCu | the Alexandria database | PBE | optimized geometry; values from VASP
! Formation energy in eV/atom: 0.158
! Uncorrected energy in eV/atom: -4.94
! Space group: C2/m, No. 12
&SYSTEM
  ibrav = 0, nat = 6, ntyp = 3
/
ATOMIC_SPECIES
In 114.82 In.upf
Fe 55.84 Fe.upf
Cu 63.55 Cu.upf
CELL_PARAMETERS angstrom
-1.865 -2.533 -1.547
6.263 0.585 -4.536
0.070 -2.166 3.463
ATOMIC_POSITIONS crystal
In 0.090 0.180 0.930
In 0.910 0.820 0.070
Fe 0.752 0.504 0.255
Fe 0.248 0.496 0.745
Cu 0.598 0.197 0.448
Cu 0.402 0.803 0.552

***

Question: Which formula does entry 3 have?
Answer: InFeCu